# Tl2PW (PBE, relaxed)
# Total magnetization ... 0.000 μB per cell
# Relative energy among the computed polymorphs ... 228.3 meV/atom
# Crystal system ... orthorhombic
# Fermi-level density of states ... 3.4 states/eV/cell
# Calculated volume ... 87.2 Å³/f.u.
# Calculated density ... 11.873 g cm⁻³
# Energy of formation from the pure elements ... 444 meV/atom
data_Tl2PW
_chemical_formula_sum 'Tl4 P2 W2'
_cell_length_a 3.2737
_cell_length_b 4.7922
_cell_length_c 11.1185
_cell_angle_alpha 90.00
_cell_angle_beta 90.00
_cell_angle_gamma 90.00
_symmetry_space_group_name_H-M 'A m m 2'
_symmetry_Int_Tables_number 38
_symmetry_space_group_name_Hall 'A 2 -2'
loop_
_atom_site_label
_atom_site_type_symbol
_atom_site_fract_x
_atom_site_fract_y
_atom_site_fract_z
Tl1 Tl 0.0000 0.0000 0.0000
Tl2 Tl 0.5000 0.0000 0.2988
P1 P 0.5000 0.0000 0.5782
W1 W 0.0000 0.0000 0.7314

=====

# Sr2HfCrSe (PBE, relaxed)
# Total magnetization ... 1.684 μB per cell
# Crystal system ... tetragonal
# Fermi-level density of states ... 6.7 states/eV/cell
# Calculated volume ... 159.8 Å³/f.u.
# Calculated density ... 5.037 g cm⁻³
# Formation energy (no corrections) ... 0.415 eV per atom
data_Sr2HfCrSe
_chemical_formula_sum 'Sr2 Hf1 Cr1 Se1'
_cell_length_a 5.8769
_cell_length_b 5.8769
_cell_length_c 4.6268
_cell_angle_alpha 90.00
_cell_angle_beta 90.00
_cell_angle_gamma 90.00
_symmetry_space_group_name_H-M 'P 4/m m m'
_symmetry_Int_Tables_number 123
_symmetry_space_group_name_Hall '-P 4 2'
loop_
_atom_site_label
_atom_site_type_symbol
_atom_site_fract_x
_atom_site_fract_y
_atom_site_fract_z
Sr1 Sr 0.0000 0.5000 0.0000
Hf1 Hf 0.0000 0.0000 0.5000
Cr1 Cr 0.0000 0.0000 0.0000
Se1 Se 0.5000 0.5000 0.5000